Computed, not measured: KAgIr after structural relaxation at the PBE level of DFT.

Computed properties:
SG: F-43m (216)

Unit cell a=4.796 b=4.796 c=4.796 alpha=60.00 beta=60.00 gamma=60.00
Fractional coordinates of all 3 atoms:
Ag: 0.500 0.500 0.500
Ir: 0.750 0.750 0.750
K: 0.000 0.000 0.000

=====

Computed, not measured: KAgIr2 after structural relaxation at the PBE level of DFT.

Computed properties:
SG: Cm (8)

Unit cell a=4.540 b=4.540 c=7.454 alpha=84.74 beta=84.74 gamma=35.88
Fractional coordinates of all 4 atoms:
Ag: 0.267 0.267 0.184
Ir: 0.999 0.999 0.948
Ir: 0.738 0.738 0.850
K: 0.496 0.496 0.517

=====

Computed, not measured: KAgIr2 after structural relaxation at the PBE level of DFT.

Computed properties:
SG: Fm-3m (225)

Unit cell a=4.712 b=4.712 c=4.712 alpha=60.00 beta=60.00 gamma=60.00
Fractional coordinates of all 4 atoms:
K: 0.000 0.000 0.000
Ir: 0.250 0.250 0.250
Ir: 0.750 0.750 0.750
Ag: 0.500 0.500 0.500

=====

Computed, not measured: KAgIr2 after structural relaxation at the PBE level of DFT.

Computed properties:
SG: R-3m (166)

Unit cell a=10.637 b=10.637 c=10.637 alpha=15.03 beta=15.03 gamma=15.03
Fractional coordinates of all 4 atoms:
Ag: 0.750 0.750 0.750
Ir: 0.006 0.006 0.006
Ir: 0.494 0.494 0.494
K: 0.250 0.250 0.250

=====

Computed, not measured: KAgIr after structural relaxation at the PBE level of DFT.

Computed properties:
SG: Imm2 (44)

Unit cell a=6.321 b=6.321 c=6.321 alpha=155.35 beta=136.94 gamma=50.24
Fractional coordinates of all 3 atoms:
Ag: 0.941 0.941 0.000
Ir: 0.391 0.391 0.000
K: 0.668 0.668 0.000

=====

Computed, not measured: KAgIr2 after structural relaxation at the PBE level of DFT.

Computed properties:
SG: I-4m2 (119)

Unit cell a=4.705 b=4.705 c=4.705 alpha=119.94 beta=119.94 gamma=90.11
Fractional coordinates of all 4 atoms:
Ag: 0.750 0.250 0.500
Ir: 0.000 0.000 0.000
Ir: 0.250 0.750 0.500
K: 0.500 0.500 0.000

=====

Computed, not measured: KAgIr2 after structural relaxation at the PBE level of DFT.

Computed properties:
SG: Immm (71)

Unit cell a=6.130 b=6.130 c=6.130 alpha=154.02 beta=133.49 gamma=54.04
Fractional coordinates of all 4 atoms:
Ag: 0.250 0.750 0.500
Ir: 0.022 0.022 0.000
Ir: 0.478 0.478 0.000
K: 0.750 0.250 0.500

=====

Computed, not measured: KAgIr2 after structural relaxation at the PBE level of DFT.

Computed properties:
SG: Cmmm (65)

Unit cell a=2.752 b=2.752 c=10.553 alpha=90.00 beta=90.00 gamma=117.64
Fractional coordinates of all 4 atoms:
Ag: 0.500 0.500 0.750
Ir: 0.000 0.000 0.983
Ir: 0.000 0.000 0.517
K: 0.500 0.500 0.250

=====

Computed, not measured: KAg3Ir after structural relaxation at the PBE level of DFT.

Computed properties:
SG: Pm-3m (221)

Unit cell a=5.054 b=5.054 c=5.054 alpha=90.00 beta=90.00 gamma=90.00
Fractional coordinates of all 5 atoms:
K: 0.000 0.000 0.000
Ir: 0.500 0.500 0.500
Ag: 0.000 0.500 0.000
Ag: 0.000 0.000 0.500
Ag: 0.500 0.000 0.000

=====

Computed, not measured: KAgIr after structural relaxation at the PBE level of DFT.

Computed properties:
SG: F-43m (216)

Unit cell a=4.895 b=4.895 c=4.895 alpha=60.00 beta=60.00 gamma=60.00
Fractional coordinates of all 3 atoms:
Ag: 0.000 0.000 0.000
Ir: 0.500 0.500 0.500
K: 0.750 0.750 0.750

=====

Computed, not measured: KAgIr after structural relaxation at the PBE level of DFT.

Computed properties:
SG: I4mm (107)

Unit cell a=6.365 b=6.365 c=6.365 alpha=147.48 beta=147.48 gamma=46.65
Fractional coordinates of all 3 atoms:
Ag: 0.949 0.949 0.000
Ir: 0.383 0.383 0.000
K: 0.668 0.668 0.000

=====

Computed, not measured: KAgIr2 after structural relaxation at the PBE level of DFT.

Computed properties:
SG: Pmmm (47)

Unit cell a=2.747 b=4.916 c=5.355 alpha=90.00 beta=90.00 gamma=90.00
Fractional coordinates of all 4 atoms:
Ag: 0.000 0.500 0.500
Ir: 0.000 0.000 0.000
Ir: 0.500 0.500 0.000
K: 0.500 0.000 0.500

=====

no.,polymorph energy (0 for the lowest one) (meV per atom),V (Å³/cell)
1,710.4,78.0
2,65.9,89.6
3,1055.9,74.0
4,236.5,70.5
5,0.0,71.6
6,675.4,73.7
7,253.0,72.9
8,290.1,70.8
9,1264.2,129.1
10,1273.6,82.9
11,220.2,74.2
12,367.5,72.3